VASP calculation (PBE) on Nb2VBSb after structural relaxation.

abc: 4.6358 4.6358 4.8492
angles: 90.00 90.00 90.00
Positions (direct):
Nb (0.0000, 0.5000, 0.0000)
Nb (0.5000, 0.0000, 0.0000)
V (0.0000, 0.0000, 0.0000)
B (0.5000, 0.5000, 0.5000)
Sb (0.0000, 0.0000, 0.5000)

Properties
Crystal system = tetragonal
VASP energy = -31.8 eV per cell
SG = P4/mmm
Fermi-level density of states = 1.040 states/eV/atom

VASP calculation (PBE) on ScNbB3 after structural relaxation.

abc: 4.1859 4.1859 4.1859
angles: 90.00 90.00 90.00
Positions (direct):
Sc (0.0000, 0.0000, 0.0000)
Nb (0.5000, 0.5000, 0.5000)
B (0.0000, 0.5000, 0.5000)
B (0.5000, 0.0000, 0.5000)
B (0.5000, 0.5000, 0.0000)

Properties
Crystal system = cubic
ΔE_f = 0.668 eV/atom
SG = Pm-3m
Distance to the lowest polymorph of the same formula = 1.478 eV per atom
Fermi-level density of states = 0.361 states/eV/atom

VASP calculation (PBE) on Sc3NbB after structural relaxation.

abc: 4.9843 4.9843 4.9843
angles: 90.00 90.00 90.00
Positions (direct):
Sc (0.0000, 0.0000, 0.5000)
Sc (0.0000, 0.5000, 0.0000)
Sc (0.5000, 0.0000, 0.0000)
Nb (0.0000, 0.0000, 0.0000)
B (0.5000, 0.5000, 0.5000)

Properties
Crystal system = cubic
ΔE_f = 1.441 eV/atom
SG = Pm-3m
Distance to the lowest polymorph of the same formula = 1.198 eV per atom
Fermi-level density of states = 1.451 states/eV/atom

VASP calculation (PBE) on Sc2NbB6 after structural relaxation.

abc: 5.4055 5.4055 3.4387
angles: 90.00 90.00 120.00
Positions (direct):
Sc (0.3333, 0.6667, 0.0000)
Sc (0.6667, 0.3333, 0.0000)
Nb (0.0000, 0.0000, 0.0000)
B (0.0000, 0.3314, 0.5000)
B (0.0000, 0.6686, 0.5000)
B (0.3314, 0.0000, 0.5000)
B (0.3314, 0.3314, 0.5000)
B (0.6686, 0.0000, 0.5000)
B (0.6686, 0.6686, 0.5000)

Properties
Crystal system = hexagonal
ΔE_f = -0.897 eV/atom
SG = P6/mmm
Fermi-level density of states = 0.190 states/eV/atom

VASP calculation (PBE) on ScNbB3 after structural relaxation.

abc: 10.0025 10.0025 3.1347
angles: 90.00 90.00 160.27
Positions (direct):
Sc (0.0696, 0.9304, 0.7500)
Sc (0.9304, 0.0696, 0.2500)
Nb (0.2032, 0.7968, 0.2500)
Nb (0.7968, 0.2032, 0.7500)
B (0.3353, 0.6647, 0.2500)
B (0.3846, 0.6154, 0.7500)
B (0.4774, 0.5226, 0.7500)
B (0.5226, 0.4774, 0.2500)
B (0.6154, 0.3846, 0.2500)
B (0.6647, 0.3353, 0.7500)

Properties
Crystal system = orthorhombic
ΔE_f = -0.810 eV/atom
SG = Cmcm
Distance to the lowest polymorph of the same formula = 0.000 eV per atom
Fermi-level density of states = 0.221 states/eV/atom

VASP calculation (PBE) on Sc3NbB after structural relaxation.

abc: 4.6378 4.6378 4.6378
angles: 90.00 90.00 90.00
Positions (direct):
Sc (0.0000, 0.0000, 0.5000)
Sc (0.0000, 0.5000, 0.0000)
Sc (0.5000, 0.0000, 0.0000)
Nb (0.5000, 0.5000, 0.5000)
B (0.0000, 0.0000, 0.0000)

Properties
Crystal system = cubic
ΔE_f = 0.243 eV/atom
SG = Pm-3m
Distance to the lowest polymorph of the same formula = 0.000 eV per atom
Fermi-level density of states = 1.567 states/eV/atom

VASP calculation (PBE) on ScNbB3 after structural relaxation.

abc: 4.0260 4.0260 4.0260
angles: 90.00 90.00 90.00
Positions (direct):
Sc (0.0000, 0.0000, 0.0000)
Nb (0.5000, 0.5000, 0.5000)
B (0.0000, 0.0000, 0.5000)
B (0.0000, 0.5000, 0.0000)
B (0.5000, 0.0000, 0.0000)

Properties
Crystal system = cubic
ΔE_f = 1.606 eV/atom
SG = Pm-3m
Distance to the lowest polymorph of the same formula = 2.416 eV per atom
Fermi-level density of states = 0.585 states/eV/atom

VASP calculation (PBE) on Sc2NbB after structural relaxation.

abc: 9.8004 9.8004 9.8004
angles: 18.24 18.24 18.24
Positions (direct):
Sc (0.0833, 0.0833, 0.0833)
Sc (0.9167, 0.9167, 0.9167)
Nb (0.5000, 0.5000, 0.5000)
B (0.0000, 0.0000, 0.0000)

Properties
Crystal system = trigonal
ΔE_f = 0.930 eV/atom
SG = R-3m
Fermi-level density of states = 1.785 states/eV/atom

VASP calculation (PBE) on Sc2NbB after structural relaxation.

abc: 9.1161 9.1161 9.1161
angles: 19.52 19.52 19.52
Positions (direct):
Sc (0.1080, 0.1080, 0.1080)
Sc (0.8920, 0.8920, 0.8920)
Nb (0.0000, 0.0000, 0.0000)
B (0.5000, 0.5000, 0.5000)

Properties
Crystal system = trigonal
ΔE_f = 0.365 eV/atom
SG = R-3m
Fermi-level density of states = 1.012 states/eV/atom

VASP calculation (PBE) on Sc2NbB after structural relaxation.

abc: 5.8863 5.8863 5.8863
angles: 100.24 100.24 130.13
Positions (direct):
Sc (0.0506, 0.6250, 0.9256)
Sc (0.3750, 0.3006, 0.4256)
Sc (0.6994, 0.1250, 0.0744)
Sc (0.8750, 0.9494, 0.5744)
Nb (0.2500, 0.7500, 0.5000)
Nb (0.5000, 0.5000, 0.0000)
B (0.0000, 0.0000, 0.0000)
B (0.7500, 0.2500, 0.5000)

Properties
Crystal system = tetragonal
ΔE_f = 0.329 eV/atom
SG = I-42d
Fermi-level density of states = 0.890 states/eV/atom

VASP calculation (PBE) on ScTa2NbB after structural relaxation.

abc: 4.4047 4.4047 4.5529
angles: 90.00 90.00 90.00
Positions (direct):
Sc (0.0000, 0.0000, 0.0000)
Ta (0.0000, 0.5000, 0.5000)
Ta (0.5000, 0.0000, 0.5000)
Nb (0.5000, 0.5000, 0.0000)
B (0.0000, 0.0000, 0.5000)

Properties
Crystal system = tetragonal
ΔE_f = 0.123 eV/atom
SG = P4/mmm
Fermi-level density of states = 1.418 states/eV/atom

VASP calculation (PBE) on Sc2NbTlB after structural relaxation.

abc: 4.6166 4.6166 4.5009
angles: 90.00 90.00 90.00
Positions (direct):
Sc (0.0000, 0.5000, 0.0000)
Sc (0.5000, 0.0000, 0.0000)
Nb (0.0000, 0.0000, 0.5000)
Tl (0.5000, 0.5000, 0.5000)
B (0.0000, 0.0000, 0.0000)

Properties
Crystal system = tetragonal
ΔE_f = -0.239 eV/atom
SG = P4/mmm
Fermi-level density of states = 0.658 states/eV/atom

Question: Fermi-level density of states of number 10 (Sc2NbB)?
Answer: 0.890 states/eV/atom

Question: Number 6 is which compound?
Answer: Sc3NbB

Copy entry 6 word for word.
VASP calculation (PBE) on Sc3NbB after structural relaxation.

abc: 4.6378 4.6378 4.6378
angles: 90.00 90.00 90.00
Positions (direct):
Sc (0.0000, 0.0000, 0.5000)
Sc (0.0000, 0.5000, 0.0000)
Sc (0.5000, 0.0000, 0.0000)
Nb (0.5000, 0.5000, 0.5000)
B (0.0000, 0.0000, 0.0000)

Properties
Crystal system = cubic
ΔE_f = 0.243 eV/atom
SG = Pm-3m
Distance to the lowest polymorph of the same formula = 0.000 eV per atom
Fermi-level density of states = 1.567 states/eV/atom

Question: Number 2 is which compound?
Answer: ScNbB3